This record from Alexandria via LeMat-Bulk describes an optimized crystal structure of KReAu2. The functional is PBE-GGA. Values from VASP.

## Properties
Space-group type   Fm-3m
VASP energy   -3.9858 eV per atom
ΔH_f (0 K)   1.0393 eV per atom
Relative energy among the computed polymorphs   557 meV per atom

Cell and atoms, written as Quantum ESPRESSO input:
```
&SYSTEM
  ibrav = 0, nat = 4, ntyp = 3
/
ATOMIC_SPECIES
K 39.10 K.upf
Re 186.21 Re.upf
Au 196.97 Au.upf
ATOMIC_POSITIONS crystal
K 0.000 0.000 0.000
Re 0.500 0.500 0.500
Au 0.250 0.250 0.250
Au 0.750 0.750 0.750
CELL_PARAMETERS angstrom
0.000 3.479 3.479
3.479 0.000 3.479
3.479 3.479 0.000
```